Entry from the Alexandria database: crystalline Rb3Cr2HgO8 at its relaxed geometry (PBE+U).

Output
E_tot ... -5.53 eV per atom
Space-group type ... P-3m1 (164)

a b c (Å): 6.1847 6.1847 8.0791
angles (deg): 90.00 90.00 120.00
Last column: nearest neighbours and their distance in Å.
Fractional coordinates of all 14 atoms:
Rb1 0.0000 0.0000 0.0000  6 O 3.08
Rb2 0.3333 0.6667 0.6718  7 O 2.79-3.11
Rb3 0.6667 0.3333 0.3282  7 O 2.79-3.11
Cr1 0.3333 0.6667 0.2210  4 O 1.65-1.68
Cr2 0.6667 0.3333 0.7790  4 O 1.65-1.68
Hg1 0.0000 0.0000 0.5000  6 O 2.60
O1 0.1855 0.3711 0.2919  1 Cr 1.68
O2 0.1855 0.8145 0.2919  1 Cr 1.68
O3 0.3333 0.6667 0.0174  1 Cr 1.65
O4 0.3711 0.1855 0.7081  1 Cr 1.68
O5 0.6289 0.8145 0.2919  1 Cr 1.68
O6 0.6667 0.3333 0.9826  1 Cr 1.65
O7 0.8145 0.1855 0.7081  1 Cr 1.68
O8 0.8145 0.6289 0.7081  1 Cr 1.68